Entry 1:
Entry from the Alexandria database: a relaxed LiErPu crystal (GGA-PBE).

Properties
- Magnetic moment: 5.8 Bohr magnetons per cell
- Fermi-level density of states: 8.99 states/eV per cell
- Space group: P3m1
- ΔE_f: 0.23 eV per atom
- Energy above the lowest structure with this stoichiometry: 0.000 eV/atom

```
3
Lattice="3.3467 0.0000 0.0000 -1.6733 2.8983 0.0000 0.0000 0.0000 8.2883" Properties=species:S:1:pos:R:3 pbc="T T T"
Li 0.0000 0.0000 0.0000
Er 0.0000 1.9322 5.5477
Pu 1.6734 0.9661 2.7343
```

Entry 2:
Entry from the Alexandria database: a relaxed LiErPuRe crystal (GGA-PBE).

Properties
- Magnetic moment: 4.7 Bohr magnetons per cell
- Fermi-level density of states: 7.27 states/eV per cell
- Space group: F-43m
- ΔE_f: 0.14 eV per atom

```
4
Lattice="0.0000 3.4369 3.4369 3.4369 0.0000 3.4369 3.4369 3.4369 0.0000" Properties=species:S:1:pos:R:3 pbc="T T T"
Li 0.0000 0.0000 0.0000
Er 1.7185 1.7185 1.7185
Pu 5.1554 5.1554 5.1554
Re 3.4369 3.4369 3.4369
```

Entry 3:
Entry from the Alexandria database: a relaxed LiErPuRh crystal (GGA-PBE).

Properties
- Magnetic moment: 5.8 Bohr magnetons per cell
- Fermi-level density of states: 7.37 states/eV per cell
- Space group: F-43m
- ΔE_f: -0.29 eV per atom

```
4
Lattice="0.0000 3.4694 3.4694 3.4694 0.0000 3.4694 3.4694 3.4694 0.0000" Properties=species:S:1:pos:R:3 pbc="T T T"
Li 0.0000 0.0000 0.0000
Er 5.2040 5.2040 5.2040
Pu 1.7347 1.7347 1.7347
Rh 3.4694 3.4694 3.4694
```

Entry 4:
Entry from the Alexandria database: a relaxed LiErPuRu crystal (GGA-PBE).

Properties
- Magnetic moment: 5.6 Bohr magnetons per cell
- Fermi-level density of states: 9.58 states/eV per cell
- Space group: F-43m
- ΔE_f: -0.11 eV per atom

```
4
Lattice="0.0000 3.4423 3.4423 3.4423 0.0000 3.4423 3.4423 3.4423 0.0000" Properties=species:S:1:pos:R:3 pbc="T T T"
Li 0.0000 0.0000 0.0000
Er 5.1634 5.1634 5.1634
Pu 1.7211 1.7211 1.7211
Ru 3.4423 3.4423 3.4423
```

Entry 5:
Entry from the Alexandria database: a relaxed LiErPuS3 crystal (GGA-PBE).

Properties
- Formation energy from raw total energies: -1708 meV per atom
- Magnetic moment: 11.5 Bohr magnetons per cell
- Fermi-level density of states: 20.21 states/eV per cell
- Space group: P2_1/m

```
12
Lattice="8.0174 0.0000 0.0000 0.0000 3.8430 0.0000 -1.8198 0.0000 8.1675" Properties=species:S:1:pos:R:3 pbc="T T T"
Li 0.5516 0.9607 0.6560
Li 5.6461 2.8822 7.5115
Er 2.0900 2.8822 2.7069
Er 4.1077 0.9607 5.4606
Pu 0.1124 0.9607 5.8476
Pu 6.0852 2.8822 2.3199
S 0.1590 0.9607 2.9733
S -0.0660 2.8822 8.1473
S 2.1979 2.8822 5.4429
S 3.9997 0.9607 2.7246
S 6.2637 0.9607 0.0202
S 6.0386 2.8822 5.1943
```

Entry 6:
Entry from the Alexandria database: a relaxed LiEr2PuS4 crystal (GGA-PBE).

Properties
- Formation energy from raw total energies: -1850 meV per atom
- Magnetic moment: 5.8 Bohr magnetons per cell
- Fermi-level density of states: 11.10 states/eV per cell
- Space group: P2/m

```
8
Lattice="6.7186 0.0000 0.0000 0.0000 3.8857 0.0000 -2.2789 0.0000 6.3517" Properties=species:S:1:pos:R:3 pbc="T T T"
Li 0.0000 0.0000 0.0000
Er -1.1395 1.9429 3.1758
Er 2.2199 0.0000 3.1758
Pu 3.3593 1.9429 0.0000
S -0.0592 0.0000 4.7408
S 1.0708 1.9429 1.6041
S 3.3689 1.9429 4.7476
S 4.4989 0.0000 1.6108
```

no.,energy (eV/atom),theoretical density (g/cm³)
1,-6.703,8.64
2,-8.176,12.36
3,-7.328,10.36
4,-7.631,10.57
5,-7.240,6.79
6,-7.086,7.15